[1]
VASP calculation (PBE) on MnCdTc2 after structural relaxation.

## Properties
Spin magnetization ... 2.13 Bohr magnetons per cell
SG ... Immm, No. 71
Calculated formation energy ... 0.352 eV per atom
Electronic total energy ... -7.35 eV per atom

Structure (CIF):
```
data_MnCdTc2
_chemical_formula_sum 'Mn1 Cd1 Tc2'
_symmetry_space_group_name_H-M 'P 1'
_symmetry_Int_Tables_number 1
_symmetry_space_group_name_Hall 'P 1'
_cell_length_a 5.359
_cell_length_b 5.359
_cell_length_c 5.359
_cell_angle_alpha 148.00
_cell_angle_beta 130.48
_cell_angle_gamma 60.19
loop_
_atom_site_label
_atom_site_fract_x
_atom_site_fract_y
_atom_site_fract_z
Mn1 0.000 0.000 0.000
Cd1 0.500 0.500 0.000
Tc1 0.227 0.727 0.500
Tc2 0.773 0.273 0.500
```

***

[2]
VASP calculation (PBE) on TaZnSN2 after structural relaxation.

## Properties
ΔE_f (raw) ... 128 meV per atom
Spin magnetization ... 0.68 Bohr magnetons per cell
SG ... P4/mmm, No. 123
Electronic total energy ... -6.65 eV per atom

Structure (CIF):
```
data_TaZnSN2
_chemical_formula_sum 'Ta1 Zn1 S1 N2'
_symmetry_space_group_name_H-M 'P 1'
_symmetry_Int_Tables_number 1
_symmetry_space_group_name_Hall 'P 1'
_cell_length_a 3.950
_cell_length_b 3.950
_cell_length_c 5.252
_cell_angle_alpha 90.00
_cell_angle_beta 90.00
_cell_angle_gamma 90.00
loop_
_atom_site_label
_atom_site_fract_x
_atom_site_fract_y
_atom_site_fract_z
Ta1 0.000 0.000 0.000
Zn1 0.500 0.500 0.500
S1 0.000 0.000 0.500
N1 0.000 0.500 0.000
N2 0.500 0.000 0.000
```

***

[3]
VASP calculation (PBE) on SrAgBr3 after structural relaxation.

## Properties
ΔE_f (raw) ... -978 meV per atom
Spin magnetization ... 0.00 Bohr magnetons per cell
SG ... Pm-3m, No. 221
Electronic total energy ... -2.89 eV per atom

Structure (CIF):
```
data_SrAgBr3
_chemical_formula_sum 'Sr1 Ag1 Br3'
_symmetry_space_group_name_H-M 'P 1'
_symmetry_Int_Tables_number 1
_symmetry_space_group_name_Hall 'P 1'
_cell_length_a 5.912
_cell_length_b 5.912
_cell_length_c 5.912
_cell_angle_alpha 90.00
_cell_angle_beta 90.00
_cell_angle_gamma 90.00
loop_
_atom_site_label
_atom_site_fract_x
_atom_site_fract_y
_atom_site_fract_z
Sr1 0.000 0.000 0.000
Ag1 0.500 0.500 0.500
Br1 0.000 0.000 0.500
Br2 0.000 0.500 0.000
Br3 0.500 0.000 0.000
```

***

[4]
VASP calculation (PBE) on Pm2TmOs after structural relaxation.

## Properties
Spin magnetization ... 0.00 Bohr magnetons per cell
SG ... Pnma, No. 62
Calculated formation energy ... -0.180 eV per atom
Electronic total energy ... -6.48 eV per atom

Structure (CIF):
```
data_Pm2TmOs
_chemical_formula_sum 'Pm8 Tm4 Os4'
_symmetry_space_group_name_H-M 'P 1'
_symmetry_Int_Tables_number 1
_symmetry_space_group_name_Hall 'P 1'
_cell_length_a 7.430
_cell_length_b 9.348
_cell_length_c 6.415
_cell_angle_alpha 90.00
_cell_angle_beta 90.00
_cell_angle_gamma 90.00
loop_
_atom_site_label
_atom_site_fract_x
_atom_site_fract_y
_atom_site_fract_z
Pm1 0.176 0.064 0.172
Pm2 0.176 0.436 0.172
Pm3 0.324 0.564 0.672
Pm4 0.324 0.936 0.672
Pm5 0.676 0.064 0.328
Pm6 0.676 0.436 0.328
Pm7 0.824 0.564 0.828
Pm8 0.824 0.936 0.828
Tm1 0.043 0.250 0.639
Tm2 0.457 0.750 0.139
Tm3 0.543 0.250 0.861
Tm4 0.957 0.750 0.361
Os1 0.116 0.750 0.968
Os2 0.384 0.250 0.468
Os3 0.616 0.750 0.532
Os4 0.884 0.250 0.032
```

***

[5]
VASP calculation (PBE) on AcPmY6Ho2 after structural relaxation.

## Properties
Spin magnetization ... 0.00 Bohr magnetons per cell
SG ... C2/c, No. 15
Calculated formation energy ... 0.128 eV per atom
Electronic total energy ... -5.55 eV per atom

Structure (CIF):
```
data_AcPmY6Ho2
_chemical_formula_sum 'Ac2 Pm2 Y12 Ho4'
_symmetry_space_group_name_H-M 'P 1'
_symmetry_Int_Tables_number 1
_symmetry_space_group_name_Hall 'P 1'
_cell_length_a 8.950
_cell_length_b 8.950
_cell_length_c 9.604
_cell_angle_alpha 92.81
_cell_angle_beta 92.81
_cell_angle_gamma 117.35
loop_
_atom_site_label
_atom_site_fract_x
_atom_site_fract_y
_atom_site_fract_z
Ac1 0.032 0.968 0.750
Ac2 0.968 0.032 0.250
Pm1 0.412 0.588 0.250
Pm2 0.588 0.412 0.750
Y1 0.016 0.556 0.679
Y2 0.124 0.753 0.058
Y3 0.247 0.876 0.442
Y4 0.290 0.512 0.886
Y5 0.444 0.984 0.821
Y6 0.488 0.710 0.614
Y7 0.512 0.290 0.386
Y8 0.556 0.016 0.179
Y9 0.710 0.488 0.114
Y10 0.753 0.124 0.558
Y11 0.876 0.247 0.942
Y12 0.984 0.444 0.321
Ho1 0.199 0.310 0.551
Ho2 0.310 0.199 0.051
Ho3 0.690 0.801 0.949
Ho4 0.801 0.690 0.449
```

***

[6]
VASP calculation (PBE) on Sm8OsPd2 after structural relaxation.

## Properties
Spin magnetization ... 0.00 Bohr magnetons per cell
SG ... C2/m, No. 12
Calculated formation energy ... -0.316 eV per atom
Electronic total energy ... -5.71 eV per atom

Structure (CIF):
```
data_Sm8OsPd2
_chemical_formula_sum 'Sm8 Os1 Pd2'
_symmetry_space_group_name_H-M 'P 1'
_symmetry_Int_Tables_number 1
_symmetry_space_group_name_Hall 'P 1'
_cell_length_a 9.193
_cell_length_b 9.193
_cell_length_c 6.892
_cell_angle_alpha 103.70
_cell_angle_beta 103.70
_cell_angle_gamma 32.58
loop_
_atom_site_label
_atom_site_fract_x
_atom_site_fract_y
_atom_site_fract_z
Sm1 0.032 0.032 0.292
Sm2 0.201 0.201 0.821
Sm3 0.336 0.336 0.529
Sm4 0.412 0.412 0.063
Sm5 0.588 0.588 0.937
Sm6 0.664 0.664 0.471
Sm7 0.799 0.799 0.179
Sm8 0.968 0.968 0.708
Os1 0.500 0.500 0.500
Pd1 0.191 0.191 0.226
Pd2 0.809 0.809 0.774
```